A geometry-optimized Ac2PuTl structure, computed with PBE.

a b c (Å): 3.9783 3.9783 9.1680
angles (deg): 90.00 90.00 90.00
Space group P4/mmm (No. 123)
Unique sites:
Ac: 0.0000 0.0000 0.2372 [2 per cell]
Pu: 0.5000 0.5000 0.5000 [1 per cell]
Tl: 0.5000 0.5000 0.0000 [1 per cell]

Output
- Energy of formation: -0.02 eV per formula unit
- E: -0.4582 Ry/atom
- Calculated density: 10.3 Mg/m³
- D(E_F): 9.41 states/eV/f.u.
- Energy above the lowest structure with this stoichiometry: 0 meV per atom